Run i
An optimized crystal structure of Ac7Sn2Pt2. Source: Alexandria, functional PBE.

Results
Spin magnetization: 0.0 μB per formula unit

a b c (Å): 4.627 16.227 10.482
angles (deg): 90.00 90.00 90.00
Space group Imm2 (No. 44)
Asymmetric unit:
Ac  0.000  0.000  0.000 x2
Ac  0.000  0.110  0.392 x4
Ac  0.000  0.321  0.625 x4
Ac  0.000  0.378  0.216 x4
Sn  0.000  0.229  0.910 x4
Pt  0.000  0.000  0.647 x2
Pt  0.000  0.500  0.714 x2

***

Run ii
An optimized crystal structure of Ac7Sn2Pt2. Source: Alexandria, functional PBE.

Results
Spin magnetization: 0.0 μB per formula unit

a b c (Å): 8.853 12.215 7.607
angles (deg): 90.00 90.00 90.00
Space group Cmmm (No. 65)
Asymmetric unit:
Ac  0.000  0.000  0.000 x2
Ac  0.000  0.500  0.241 x4
Ac  0.250  0.250  0.259 x8
Sn  0.168  0.000  0.500 x4
Pt  0.000  0.285  0.000 x4

***

What should be chosen as the most stable of them? Choose run i.